First-principles (GGA-PBEsol) data for a geometry-optimized MgAlIn structure, as listed in Alexandria via LeMat-Bulk.

Structure (extended XYZ):
```
12
Lattice="4.354 0.000 0.000 0.000 4.444 0.000 0.000 0.000 12.916" Properties=species:S:1:pos:R:3 pbc="T T T"
Mg 0.000 0.000 0.000
Mg 0.000 2.222 6.458
Mg 2.177 0.000 6.458
Mg 2.177 2.222 0.000
Al 0.000 0.000 8.468
Al 0.000 2.222 2.010
Al 2.177 0.000 2.010
Al 2.177 2.222 8.468
In 0.000 0.000 4.179
In 0.000 2.222 10.637
In 2.177 0.000 10.637
In 2.177 2.222 4.179
```

Values from the calculation:
VASP energy, eV per atom: -2.9040
Space group: No. 42

---

First-principles (GGA-PBEsol) data for a geometry-optimized LiMg2Ta structure, as listed in Alexandria via LeMat-Bulk.

Structure (extended XYZ):
```
8
Lattice="4.672 0.000 0.000 0.000 4.672 0.000 0.000 0.000 6.624" Properties=species:S:1:pos:R:3 pbc="T T T"
Li 0.000 0.000 0.000
Li 2.336 2.336 3.312
Mg 0.000 0.000 3.312
Mg 0.000 2.336 1.656
Mg 2.336 0.000 4.968
Mg 2.336 2.336 0.000
Ta 0.000 2.336 4.968
Ta 2.336 0.000 1.656
```

Values from the calculation:
VASP energy, eV per atom: -3.8701
Space group: No. 119

---

First-principles (GGA-PBEsol) data for a geometry-optimized Cr2SiRu structure, as listed in Alexandria via LeMat-Bulk.

Structure (extended XYZ):
```
16
Lattice="5.741 0.000 0.000 0.000 5.741 0.000 0.000 0.000 5.741" Properties=species:S:1:pos:R:3 pbc="T T T"
Cr 0.000 0.000 0.000
Cr 0.000 2.871 2.871
Cr 1.435 1.435 1.435
Cr 1.435 4.306 4.306
Cr 2.871 0.000 2.871
Cr 2.871 2.871 0.000
Cr 4.306 1.435 4.306
Cr 4.306 4.306 1.435
Si 0.000 0.000 2.871
Si 0.000 2.871 0.000
Si 2.871 0.000 0.000
Si 2.871 2.871 2.871
Ru 1.435 1.435 4.306
Ru 1.435 4.306 1.435
Ru 4.306 1.435 1.435
Ru 4.306 4.306 4.306
```

Values from the calculation:
Space group: No. 216
Uncorrected formation energy, kJ per mole of atoms: -24.3

---

First-principles (GGA-PBEsol) data for a geometry-optimized LiLaTe structure, as listed in Alexandria via LeMat-Bulk.

Structure (extended XYZ):
```
3
Lattice="4.495 0.000 0.000 -2.247 3.892 0.000 0.000 0.000 4.207" Properties=species:S:1:pos:R:3 pbc="T T T"
Li 0.000 0.000 0.000
La 0.000 2.595 2.103
Te 2.247 1.297 0.000
```

Values from the calculation:
Space group: No. 187
Uncorrected formation energy, kJ per mole of atoms: -103.1

---

Number 1: mass density 4.415 Mg/m³. Number 2: mass density 5.433 Mg/m³. Number 3: mass density 8.184 Mg/m³. Number 4: mass density 6.170 Mg/m³.